No. 1
This record from Alexandria via LeMat-Bulk describes crystalline CaLaTlPd at its relaxed geometry. The functional is PBE.

a = 5.348 Å, b = 5.348 Å, c = 5.348 Å
α = 60.00°, β = 60.00°, γ = 60.00°
Positions (direct):
Ca 0.000 0.000 0.000
La 0.500 0.500 0.500
Tl 0.250 0.250 0.250
Pd 0.750 0.750 0.750

Properties
* energy of formation: -2.074 eV per formula unit
* SG: F-43m
* E_tot: -4.14 eV/atom

---

No. 2
This record from Alexandria via LeMat-Bulk describes crystalline Sr2Cd2Ge at its relaxed geometry. The functional is PBE.

a = 7.428 Å, b = 7.428 Å, c = 9.731 Å
α = 104.74°, β = 104.74°, γ = 36.23°
Positions (direct):
Sr 0.128 0.128 0.414
Sr 0.144 0.144 0.997
Sr 0.856 0.856 0.003
Sr 0.872 0.872 0.586
Cd 0.365 0.365 0.298
Cd 0.471 0.471 0.840
Cd 0.529 0.529 0.160
Cd 0.635 0.635 0.702
Ge 0.260 0.260 0.745
Ge 0.740 0.740 0.255

Properties
* energy of formation: -1.896 eV per formula unit
* excess energy over the best structure of this formula in the dataset: 29.4 meV/atom
* SG: C2/m
* E_tot: -2.34 eV/atom

---

No. 3
This record from Alexandria via LeMat-Bulk describes crystalline Ti8NbRh2 at its relaxed geometry. The functional is PBE.

a = 7.253 Å, b = 7.253 Å, c = 4.608 Å
α = 100.83°, β = 100.83°, γ = 121.91°
Positions (direct):
Ti 0.101 0.321 0.616
Ti 0.217 0.783 0.000
Ti 0.321 0.101 0.616
Ti 0.389 0.389 0.197
Ti 0.611 0.611 0.803
Ti 0.679 0.899 0.384
Ti 0.783 0.217 0.000
Ti 0.899 0.679 0.384
Nb 0.000 0.000 0.000
Rh 0.299 0.701 0.500
Rh 0.701 0.299 0.500

Properties
* energy of formation: -1.335 eV per formula unit
* SG: C2/m
* E_tot: -8.12 eV/atom

---

No. 4
This record from Alexandria via LeMat-Bulk describes crystalline Li3UCu2Se6 at its relaxed geometry. The functional is PBE.

a = 6.395 Å, b = 6.395 Å, c = 7.004 Å
α = 101.55°, β = 101.55°, γ = 114.69°
Positions (direct):
Li 0.000 0.000 0.000
Li 0.345 0.655 0.000
Li 0.655 0.345 0.000
U 0.500 0.500 0.500
Cu 0.177 0.823 0.500
Cu 0.823 0.177 0.500
Se 0.096 0.445 0.242
Se 0.223 0.223 0.709
Se 0.445 0.096 0.242
Se 0.555 0.904 0.758
Se 0.777 0.777 0.291
Se 0.904 0.555 0.758

Properties
* formation energy without anion corrections: -0.80 eV per atom
* SG: C2/m
* E_tot: -4.64 eV/atom

---

No. 5
This record from Alexandria via LeMat-Bulk describes crystalline PdPb3F at its relaxed geometry. The functional is PBE.

a = 5.376 Å, b = 5.376 Å, c = 5.376 Å
α = 90.00°, β = 90.00°, γ = 90.00°
Positions (direct):
Pd 0.000 0.000 0.000
Pb 0.000 0.000 0.500
Pb 0.000 0.500 0.000
Pb 0.500 0.000 0.000
F 0.500 0.500 0.500

Properties
* formation energy without anion corrections: -0.21 eV per atom
* excess energy over the best structure of this formula in the dataset: 122.3 meV/atom
* SG: Pm-3m
* E_tot: -3.84 eV/atom

---

No. 6
This record from Alexandria via LeMat-Bulk describes crystalline Tl8HgBi2 at its relaxed geometry. The functional is PBE.

a = 9.138 Å, b = 9.138 Å, c = 6.480 Å
α = 109.22°, β = 109.22°, γ = 46.22°
Positions (direct):
Tl 0.142 0.142 0.817
Tl 0.151 0.705 0.752
Tl 0.269 0.269 0.429
Tl 0.295 0.849 0.248
Tl 0.705 0.151 0.752
Tl 0.731 0.731 0.571
Tl 0.849 0.295 0.248
Tl 0.858 0.858 0.183
Hg 0.500 0.500 0.500
Bi 0.358 0.358 0.042
Bi 0.642 0.642 0.958

Properties
* energy of formation: 0.517 eV per formula unit
* excess energy over the best structure of this formula in the dataset: 46.3 meV/atom
* SG: C2/m
* E_tot: -2.41 eV/atom

---

No. 7
This record from Alexandria via LeMat-Bulk describes crystalline Ba2ZnIr2 at its relaxed geometry. The functional is PBE.

a = 7.130 Å, b = 7.130 Å, c = 5.007 Å
α = 90.00°, β = 90.00°, γ = 90.00°
Positions (direct):
Ba 0.179 0.321 0.000
Ba 0.321 0.821 0.000
Ba 0.679 0.179 0.000
Ba 0.821 0.679 0.000
Zn 0.000 0.000 0.500
Zn 0.500 0.500 0.500
Ir 0.126 0.626 0.500
Ir 0.374 0.126 0.500
Ir 0.626 0.874 0.500
Ir 0.874 0.374 0.500

Properties
* energy of formation: 0.230 eV per formula unit
* SG: P4/mbm
* E_tot: -4.52 eV/atom

---

No. 8
This record from Alexandria via LeMat-Bulk describes crystalline CsSn2Pd2 at its relaxed geometry. The functional is PBE.

a = 8.835 Å, b = 8.835 Å, c = 3.293 Å
α = 90.00°, β = 90.00°, γ = 90.00°
Positions (direct):
Cs 0.000 0.000 0.000
Cs 0.500 0.500 0.000
Sn 0.131 0.369 0.500
Sn 0.369 0.869 0.500
Sn 0.631 0.131 0.500
Sn 0.869 0.631 0.500
Pd 0.128 0.628 0.000
Pd 0.372 0.128 0.000
Pd 0.628 0.872 0.000
Pd 0.872 0.372 0.000

Properties
* energy of formation: -0.893 eV per formula unit
* excess energy over the best structure of this formula in the dataset: 187.8 meV/atom
* SG: P4/mbm
* E_tot: -4.03 eV/atom